Record 1
Density functional theory data (PBEsol) for a relaxed Ti2InNi2 crystal.

a = 6.8417 Å, b = 6.8417 Å, c = 6.1688 Å
α = 90.00°, β = 90.00°, γ = 90.00°
Closest atoms and distances in Å follow each position.
Space group P4_2/mnm (No. 136)
Symmetry-distinct sites (fractional):
1 Ti 0.1509 0.1509 0.0000 (multiplicity 4)  6 Ni 2.54-2.58
2 Ti 0.1782 0.1782 0.5000 (multiplicity 4)  6 Ni 2.50-2.57
3 In 0.0000 0.5000 0.2500 (multiplicity 4)  4 Ni 2.71, 8 Ti 2.95-3.02
4 Ni 0.1265 0.8735 0.2830 (multiplicity 8)  2 Ni 2.45-2.68, 6 Ti 2.50-2.58, 2 In 2.71

Properties
energy relative to the elements = -0.45 eV per atom
electronic total energy = -6.834 eV per atom

***

Record 2
Density functional theory data (PBEsol) for a relaxed Sr2ScRh crystal.

a = 3.5145 Å, b = 3.5145 Å, c = 9.4942 Å
α = 90.00°, β = 90.00°, γ = 90.00°
Closest atoms and distances in Å follow each position.
Space group P4mm (No. 99)
Symmetry-distinct sites (fractional):
1 Sr 0.0000 0.0000 0.0000 (multiplicity 1)  4 Sr 3.51, 4 Sc 3.72, 1 Rh 3.81
2 Sr 0.5000 0.5000 0.3727 (multiplicity 1)  1 Sc 3.19, 4 Rh 3.29, 4 Sr 3.51
3 Sc 0.5000 0.5000 0.7090 (multiplicity 1)  4 Rh 2.70
4 Rh 0.0000 0.0000 0.5990 (multiplicity 1)  4 Sc 2.70

Properties
energy relative to the elements = -0.19 eV per atom
electronic total energy = -4.799 eV per atom

***

Record 3
Density functional theory data (PBEsol) for a relaxed GeSeOF2 crystal.

a = 4.2585 Å, b = 4.2585 Å, c = 3.6864 Å
α = 90.00°, β = 90.00°, γ = 90.00°
Closest atoms and distances in Å follow each position.
Space group P4/mmm (No. 123)
Symmetry-distinct sites (fractional):
1 Ge 0.0000 0.0000 0.0000 (multiplicity 1)  2 O 1.84
2 Se 0.5000 0.5000 0.5000 (multiplicity 1)  8 F 2.82, 4 O 3.01
3 O 0.0000 0.0000 0.5000 (multiplicity 1)  2 Ge 1.84
4 F 0.0000 0.5000 0.0000 (multiplicity 2)  2 Ge 2.13

Properties
energy relative to the elements, uncorrected = -0.821 eV per atom
electronic total energy = -4.399 eV per atom

***

Record 4
Density functional theory data (PBEsol) for a relaxed YMgCu crystal.

a = 5.7837 Å, b = 11.7901 Å, c = 7.5151 Å
α = 90.00°, β = 90.00°, γ = 90.00°
Closest atoms and distances in Å follow each position.
Space group Cmce (No. 64)
Symmetry-distinct sites (fractional):
1 Y 0.0000 0.1850 0.1019 (multiplicity 8)  4 Cu 2.81-3.10
2 Mg 0.2500 0.0577 0.7500 (multiplicity 8)  4 Cu 2.72-2.77, 2 Mg 2.89
3 Cu 0.0000 0.0968 0.4503 (multiplicity 8)  1 Cu 2.40

Properties
energy relative to the elements = -0.13 eV per atom
electronic total energy = -4.420 eV per atom

***

Record 5
Density functional theory data (PBEsol) for a relaxed Ta2AgRh crystal.

a = 9.5112 Å, b = 2.8826 Å, c = 4.8595 Å
α = 90.00°, β = 102.49°, γ = 90.00°
Closest atoms and distances in Å follow each position.
Space group C2/m (No. 12)
Symmetry-distinct sites (fractional):
1 Ta 0.2418 0.0000 0.2422 (multiplicity 4)  3 Rh 2.75-2.94, 6 Ta 2.79-2.88, 3 Ag 2.85-2.89
2 Ag 0.0000 0.0000 0.5000 (multiplicity 2)  4 Rh 2.83, 6 Ta 2.85-2.89, 2 Ag 2.88
3 Rh 0.0000 0.5000 0.0000 (multiplicity 2)  6 Ta 2.75-2.94, 4 Ag 2.83, 2 Rh 2.88

Properties
energy relative to the elements = 0.10 eV per atom
electronic total energy = -9.039 eV per atom

***

Record 6
Density functional theory data (PBEsol) for a relaxed TcAs2PtBr crystal.

a = 4.6367 Å, b = 4.6367 Å, c = 5.0182 Å
α = 90.00°, β = 90.00°, γ = 90.00°
Closest atoms and distances in Å follow each position.
Space group P4/mmm (No. 123)
Symmetry-distinct sites (fractional):
1 Tc 0.0000 0.0000 0.0000 (multiplicity 1)  4 As 2.32, 2 Br 2.51
2 As 0.0000 0.5000 0.0000 (multiplicity 2)  2 Tc 2.32
3 Pt 0.5000 0.5000 0.5000 (multiplicity 1)  4 Br 3.28, 8 As 3.42
4 Br 0.0000 0.0000 0.5000 (multiplicity 1)  2 Tc 2.51

Properties
energy relative to the elements, uncorrected = 0.898 eV per atom
electronic total energy = -5.164 eV per atom

***

- The highest electronic total energy belongs to which entry?
  GeSeOF2

***

- The highest electronic total energy belongs to which entry?
  GeSeOF2

***

- Which formula does entry 6 have?
  TcAs2PtBr